PrNd2Zn2Cu2 | GGA-PBE | optimized geometry

Structure (extended XYZ):
```
7
Lattice="4.471 0.000 0.000 2.235 3.872 0.000 2.235 1.291 9.537" Properties=species:S:1:pos:R:3 pbc="T T T"
Nd 2.235 1.291 6.050
Nd 6.706 3.872 3.487
Zn 2.235 1.291 1.921
Zn 6.706 3.872 7.617
Pr 0.000 0.000 0.000
Cu 4.471 2.581 1.850
Cu 4.471 2.581 7.688
```

Properties
E_tot: -3.780 eV/atom
total magnetic moment: 0.0 μB/f.u.
symmetry: No. 166

---

PrNdZnCu | GGA-PBE | optimized geometry

Structure (extended XYZ):
```
4
Lattice="-2.235 2.815 0.710 0.351 -0.628 3.592 5.729 4.492 0.225" Properties=species:S:1:pos:R:3 pbc="T T T"
Pr -0.301 1.596 2.176
Nd 2.497 3.790 2.286
Cu 2.081 1.631 0.082
Zn 4.885 3.830 0.192
```

Properties
E_tot: -3.946 eV/atom
total magnetic moment: 0.0 μB/f.u.
symmetry: No. 99

---

PrNdZnCu | GGA-PBE | optimized geometry

Structure (extended XYZ):
```
4
Lattice="5.177 0.000 0.000 2.589 4.484 0.000 2.589 1.495 4.227" Properties=species:S:1:pos:R:3 pbc="T T T"
Cu 2.589 1.495 1.057
Nd 5.177 2.989 2.114
Pr 0.000 0.000 0.000
Zn 7.766 4.484 3.171
```

Properties
E_tot: -3.936 eV/atom
total magnetic moment: 0.0 μB/f.u.
symmetry: No. 216

---

Nd12Cu6Pt | GGA-PBE | optimized geometry

Structure (extended XYZ):
```
19
Lattice="-4.254 7.269 0.055 -3.425 -3.489 6.858 7.174 2.739 3.458" Properties=species:S:1:pos:R:3 pbc="T T T"
Nd -0.425 1.930 7.613
Nd -5.648 1.860 6.447
Nd -1.310 -1.783 7.660
Nd 4.018 0.486 7.781
Nd -2.347 1.555 4.555
Nd -0.080 4.590 2.758
Nd 1.843 4.964 5.815
Nd 0.806 8.302 2.711
Nd 5.144 4.659 3.924
Nd -2.342 5.044 5.562
Nd -4.523 6.033 2.590
Nd 1.838 1.475 4.809
Pt 0.000 0.000 0.000
Cu 2.692 3.510 3.051
Cu -3.197 3.010 7.319
Cu -2.780 3.785 2.612
Cu 2.275 2.734 7.759
Cu -0.448 -0.377 5.342
Cu -0.056 6.896 5.029
```

Properties
E_tot: -4.654 eV/atom
total magnetic moment: 0.0 μB/f.u.
symmetry: No. 148

---

NdCu6Pt2 | GGA-PBE | optimized geometry

Structure (extended XYZ):
```
9
Lattice="-0.278 4.534 -2.412 0.653 -4.320 -2.713 -6.774 -0.695 -0.524" Properties=species:S:1:pos:R:3 pbc="T T T"
Pt -3.044 -1.716 -2.875
Pt -3.355 1.235 -2.774
Cu -5.270 -0.453 -2.984
Cu -5.597 1.708 -1.629
Cu -5.131 -2.720 -1.779
Cu -1.128 -0.028 -2.665
Cu -1.455 2.132 -1.308
Cu -0.989 -2.295 -1.458
Nd 0.000 0.000 0.000
```

Properties
E_tot: -4.460 eV/atom
total magnetic moment: 0.0 μB/f.u.
symmetry: No. 191

---

NdCu6Pt4 | GGA-PBE | optimized geometry

Structure (extended XYZ):
```
11
Lattice="6.426 -0.296 -0.435 -3.234 5.561 0.435 -3.234 -1.640 5.331" Properties=species:S:1:pos:R:3 pbc="T T T"
Cu 1.596 -0.968 2.448
Cu 2.770 0.823 1.210
Cu -3.785 3.393 2.628
Cu -1.709 2.134 3.139
Cu 1.596 2.632 0.000
Cu -3.785 1.197 4.122
Pt -2.056 -0.389 2.946
Pt 0.565 1.622 2.385
Pt -2.960 3.431 5.045
Pt -2.056 2.883 0.722
Nd 0.000 0.000 0.000
```

Properties
E_tot: -4.942 eV/atom
total magnetic moment: 0.0 μB/f.u.
symmetry: No. 121

---

NdCu10Pt2 | GGA-PBE | optimized geometry

Structure (extended XYZ):
```
13
Lattice="-3.058 0.990 4.155 -6.268 0.663 -1.451 -2.352 -5.491 2.897" Properties=species:S:1:pos:R:3 pbc="T T T"
Cu -1.176 -2.746 1.449
Cu -5.012 -1.089 3.212
Cu -6.960 -0.287 1.587
Cu -8.925 -2.962 4.099
Cu -7.960 -0.544 4.233
Cu -6.666 -2.749 2.390
Cu -2.753 -0.877 1.503
Cu -4.718 -3.552 4.015
Cu -3.718 -3.294 1.369
Cu -2.705 -2.251 3.526
Pt -4.663 0.826 1.352
Pt -3.134 0.332 -0.725
Nd 0.000 0.000 0.000
```

Properties
E_tot: -4.604 eV/atom
total magnetic moment: 0.0 μB/f.u.
symmetry: No. 69

---

NdCu4Pt2 | GGA-PBE | optimized geometry

Structure (extended XYZ):
```
7
Lattice="5.786 -0.512 0.000 -2.804 5.087 0.000 -1.491 -2.288 5.127" Properties=species:S:1:pos:R:3 pbc="T T T"
Nd 0.000 0.000 0.000
Cu 0.952 -0.620 3.991
Cu 2.443 1.668 1.136
Cu 0.539 2.908 1.136
Cu -0.952 0.620 3.991
Pt -1.402 2.544 2.564
Pt 2.893 -0.256 2.564
```

Properties
E_tot: -4.597 eV/atom
total magnetic moment: 0.0 μB/f.u.
symmetry: No. 139

---

Nd2Cu15Pt2 | GGA-PBE | optimized geometry

Structure (extended XYZ):
```
19
Lattice="-0.428 5.892 2.852 -6.546 0.203 0.372 -0.489 -2.165 6.173" Properties=species:S:1:pos:R:3 pbc="T T T"
Cu -2.842 0.290 6.343
Cu -3.273 0.101 0.186
Cu -0.245 -1.083 3.086
Cu -1.608 2.460 5.941
Cu -4.622 3.639 3.054
Cu -2.258 -1.474 4.479
Cu -0.214 2.946 1.426
Cu -0.471 0.188 5.203
Cu -5.856 1.468 3.456
Cu -4.777 -0.489 2.066
Cu -2.811 4.300 4.691
Cu -4.652 -0.371 4.706
Cu -0.446 3.539 3.822
Cu -4.759 1.864 1.096
Cu -2.215 4.230 2.128
Pt -6.666 3.509 8.393
Pt -0.797 0.420 1.004
Nd -4.928 2.594 6.205
Nd -2.535 1.335 3.192
```

Properties
E_tot: -4.558 eV/atom
total magnetic moment: 0.0 μB/f.u.
symmetry: No. 166

---

NdCu2Pt | GGA-PBE | optimized geometry

Structure (extended XYZ):
```
4
Lattice="4.352 0.000 0.000 2.176 3.769 0.000 2.176 1.256 4.609" Properties=species:S:1:pos:R:3 pbc="T T T"
Pt 4.352 2.512 2.305
Nd 0.000 0.000 0.000
Cu 2.176 1.256 1.751
Cu 6.528 3.769 2.858
```

Properties
E_tot: -5.170 eV/atom
total magnetic moment: 0.0 μB/f.u.
symmetry: No. 166

---

NdCu2Pt8 | GGA-PBE | optimized geometry

Structure (extended XYZ):
```
11
Lattice="-1.504 4.673 1.884 -2.837 0.839 -4.347 -6.642 -3.605 3.639" Properties=species:S:1:pos:R:3 pbc="T T T"
Cu -0.752 2.337 0.942
Cu -1.419 0.420 -2.173
Pt -2.531 0.574 0.189
Pt -4.723 3.357 -1.055
Pt -7.693 -1.026 0.037
Pt -3.964 0.998 -2.006
Pt -6.260 -1.450 2.232
Pt -8.452 1.334 0.988
Pt -7.019 0.910 3.183
Pt -3.291 2.934 1.140
Nd -5.492 0.954 0.588
```

Properties
E_tot: -5.494 eV/atom
total magnetic moment: 0.0 μB/f.u.
symmetry: No. 123

---

Nd2Cu2Pt | GGA-PBE | optimized geometry

Structure (extended XYZ):
```
10
Lattice="-2.295 0.196 -3.484 -3.693 -4.345 -0.315 -7.911 5.844 3.037" Properties=species:S:1:pos:R:3 pbc="T T T"
Nd -3.755 -2.422 -0.166
Nd -10.144 4.117 -0.596
Nd -8.526 0.608 0.644
Nd -5.373 1.088 -1.406
Cu -5.839 1.960 1.453
Cu -11.664 1.603 0.264
Cu -2.234 0.092 -1.026
Cu -8.060 -0.265 -2.216
Pt -7.271 3.489 -0.021
Pt -6.628 -1.794 -0.742
```

Properties
E_tot: -5.290 eV/atom
total magnetic moment: 0.0 μB/f.u.
symmetry: No. 12